[1]
BaBr2 (SCAN, single point on PBEsol structure); formation energy (no corrections) = -228 kJ per mole of atoms; theoretical density = 5.23 Mg/m³; size of the total moment = 0.000 μB per cell; symmetry = P6_3/mmc, No. 194
1.0
5.508 0.000 0.000
-2.754 4.770 0.000
0.000 0.000 7.185
Ba Br
2 4
direct
0.333 0.667 0.250
0.667 0.333 0.750
0.000 0.000 0.000
0.000 0.000 0.500
0.333 0.667 0.750
0.667 0.333 0.250

[2]
TiSeN2 (SCAN, single point on PBEsol structure); ΔE to the lowest computed polymorph = 1.3503 eV/atom; formation energy (no corrections) = 83 kJ per mole of atoms; theoretical density = 6.24 Mg/m³; size of the total moment = 0.063 μB per cell; symmetry = Fm-3m, No. 225
1.0
5.484 0.000 0.000
0.000 5.484 0.000
0.000 0.000 5.484
Ti Se N
4 4 8
direct
0.000 0.000 0.000
0.000 0.500 0.500
0.500 0.000 0.500
0.500 0.500 0.000
0.000 0.000 0.500
0.000 0.500 0.000
0.500 0.000 0.000
0.500 0.500 0.500
0.250 0.250 0.250
0.250 0.250 0.750
0.250 0.750 0.250
0.250 0.750 0.750
0.750 0.250 0.250
0.750 0.250 0.750
0.750 0.750 0.250
0.750 0.750 0.750

[3]
LiV3P3O11 (SCAN, single point on PBEsol structure); formation energy (no corrections) = -238 kJ per mole of atoms; theoretical density = 3.43 Mg/m³; size of the total moment = 36.000 μB per cell; symmetry = P2_1/c, No. 14
1.0
9.597 0.000 0.000
0.000 9.581 0.000
-4.519 0.000 9.027
Li V P O
4 12 12 44
direct
0.142 0.183 0.231
0.142 0.317 0.731
0.858 0.683 0.269
0.858 0.817 0.769
0.229 0.640 0.883
0.229 0.860 0.383
0.410 0.129 0.909
0.410 0.371 0.409
0.424 0.645 0.238
0.424 0.855 0.738
0.576 0.145 0.262
0.576 0.355 0.762
0.590 0.629 0.591
0.590 0.871 0.091
0.771 0.140 0.617
0.771 0.360 0.117
0.104 0.550 0.264
0.104 0.950 0.764
0.259 0.562 0.583
0.259 0.938 0.083
0.387 0.155 0.571
0.387 0.345 0.071
0.613 0.655 0.929
0.613 0.845 0.429
0.741 0.062 0.917
0.741 0.438 0.417
0.896 0.050 0.236
0.896 0.450 0.736
0.020 0.544 0.843
0.020 0.956 0.343
0.067 0.704 0.254
0.067 0.796 0.754
0.126 0.505 0.431
0.126 0.995 0.931
0.224 0.511 0.707
0.224 0.989 0.207
0.264 0.223 0.431
0.264 0.277 0.931
0.266 0.522 0.272
0.266 0.978 0.772
0.269 0.721 0.572
0.269 0.779 0.072
0.380 0.505 0.063
0.380 0.995 0.563
0.384 0.218 0.713
0.384 0.282 0.213
0.415 0.007 0.095
0.415 0.493 0.595
0.453 0.721 0.915
0.453 0.779 0.415
0.547 0.221 0.585
0.547 0.279 0.085
0.585 0.507 0.405
0.585 0.993 0.905
0.616 0.718 0.787
0.616 0.782 0.287
0.620 0.005 0.437
0.620 0.495 0.937
0.731 0.221 0.928
0.731 0.279 0.428
0.734 0.022 0.228
0.734 0.478 0.728
0.736 0.723 0.069
0.736 0.777 0.569
0.776 0.011 0.793
0.776 0.489 0.293
0.874 0.005 0.069
0.874 0.495 0.569
0.933 0.204 0.246
0.933 0.296 0.746
0.980 0.044 0.657
0.980 0.456 0.157

[4]
ScPtSe2 (SCAN, single point on PBEsol structure); ΔE to the lowest computed polymorph = 0.7109 eV/atom; formation energy (no corrections) = -34 kJ per mole of atoms; theoretical density = 7.14 Mg/m³; size of the total moment = 0.000 μB per cell; symmetry = R-3m, No. 166
1.0
3.667 0.000 0.000
-1.833 3.176 0.000
0.000 0.000 23.831
Sc Pt Se
3 3 6
direct
0.000 0.000 0.000
0.333 0.667 0.667
0.667 0.333 0.333
0.000 0.000 0.500
0.333 0.667 0.167
0.667 0.333 0.833
0.000 0.000 0.110
0.000 0.000 0.890
0.333 0.667 0.557
0.333 0.667 0.776
0.667 0.333 0.224
0.667 0.333 0.443